Computed, not measured: Ba2TmThSe6 after structural relaxation at the PBE level of DFT.

calculated volume	32.7	Å³ per atom
crystal system	monoclinic
formation energy from raw total energies	-1751.8	meV per atom
space group	P2_1/c (14)

Unit cell a=7.4588 b=8.0205 c=10.9409 alpha=90.00 beta=90.79 gamma=90.00
Closest atoms and distances in Å follow each position.
Fractional coordinates of all 20 atoms:
Tm 0.0000 0.5000 0.0000  6 Se 2.79-2.82
Tm 0.5000 0.0000 0.5000  6 Se 2.79-2.82
Se 0.8042 0.8035 0.5485  1 Tm 2.81, 1 Th 2.89
Se 0.0937 0.4790 0.7545  1 Tm 2.79, 1 Th 2.87
Se 0.3042 0.6965 0.0485  1 Tm 2.81, 1 Th 2.89
Se 0.5937 0.0210 0.2545  1 Tm 2.79, 1 Th 2.87
Se 0.6875 0.2991 0.5487  1 Tm 2.82, 1 Th 2.89
Se 0.3125 0.7009 0.4513  1 Tm 2.82, 1 Th 2.89
Se 0.4063 0.9790 0.7455  1 Tm 2.79, 1 Th 2.87
Se 0.6958 0.3035 0.9515  1 Tm 2.81, 1 Th 2.89
Se 0.8125 0.7991 0.9513  1 Tm 2.82, 1 Th 2.89
Se 0.1958 0.1965 0.4515  1 Tm 2.81, 1 Th 2.89
Se 0.9063 0.5210 0.2455  1 Tm 2.79, 1 Th 2.87
Se 0.1875 0.2009 0.0487  1 Tm 2.82, 1 Th 2.89
Th 0.5000 0.0000 0.0000  6 Se 2.87-2.89
Th 0.0000 0.5000 0.5000  6 Se 2.87-2.89
Ba 0.4718 0.4213 0.2507  6 Se 3.34-3.53
Ba 0.9718 0.0787 0.7507  6 Se 3.34-3.53
Ba 0.5282 0.5787 0.7493  6 Se 3.34-3.53
Ba 0.0282 0.9213 0.2493  6 Se 3.34-3.53